Here is a relaxed structure of V3SiIr from the Alexandria database. Energies are from PBE-GGA.

Computed properties:
- Energy relative to the elements, uncorrected: 5.1 eV/f.u.
- Calculated volume: 19.33 Å³ per atom

a b c (Å): 4.5889 4.5889 4.5889
angles (deg): 90.00 90.00 90.00
Closest atoms and distances in Å follow each position.
Space group Pm-3m (No. 221)
Inequivalent atoms, fractional coordinates:
V 0.0000 0.0000 0.5000  2 Ir 2.29
Si 0.5000 0.5000 0.5000  12 V 3.24
Ir 0.0000 0.0000 0.0000  6 V 2.29